# 1
Below is a relaxed NaSmF3 crystal, with properties calculated at the PBE level.

Cell: 6.9740 6.9740 6.5214 Å, 108.87 108.87 35.17°
Last column: nearest neighbours and their distance in Å.
Element x y z (fractional)
1 Na 0.1156 0.1156 0.3251  4 F 2.24-2.40
2 Na 0.8844 0.8844 0.6749  4 F 2.24-2.40
3 Sm 0.3958 0.3958 0.1869  5 F 2.27-2.45
4 Sm 0.6042 0.6042 0.8131  5 F 2.27-2.45
5 F 0.1009 0.1009 0.6819  2 Sm 2.27, 1 Na 2.40
6 F 0.2164 0.2164 0.1108  1 Na 2.24, 1 Sm 2.27
7 F 0.4203 0.4203 0.5772  2 Na 2.30, 2 Sm 2.41-2.45
8 F 0.5797 0.5797 0.4228  2 Na 2.30, 2 Sm 2.41-2.45
9 F 0.7836 0.7836 0.8892  1 Na 2.24, 1 Sm 2.27
10 F 0.8991 0.8991 0.3181  2 Sm 2.27, 1 Na 2.40

Output
Uncorrected energy, eV per cell: -54.6
Space-group type: C2/m



# 2
Below is a relaxed Mg4Tl2InPb2 crystal, with properties calculated at the PBE level.

Cell: 8.5362 8.5362 8.9744 Å, 115.06 115.06 23.84°
Last column: nearest neighbours and their distance in Å.
Element x y z (fractional)
1 Mg 0.0155 0.0155 0.3124  1 Tl 3.16, 4 Pb 3.19-3.33, 2 In 3.23, 4 Mg 3.35-3.53
2 Mg 0.3099 0.3099 0.6697  3 Pb 3.15-3.27, 1 In 3.27, 2 Tl 3.28, 4 Mg 3.33-3.35
3 Mg 0.6901 0.6901 0.3303  3 Pb 3.15-3.27, 1 In 3.27, 2 Tl 3.28, 4 Mg 3.33-3.35
4 Mg 0.9845 0.9845 0.6876  1 Tl 3.16, 4 Pb 3.19-3.33, 2 In 3.23, 4 Mg 3.35-3.53
5 Tl 0.1679 0.1679 0.0067  3 Mg 3.16-3.28, 2 In 3.29, 4 Tl 3.31-3.53, 1 Pb 3.49
6 Tl 0.8321 0.8321 0.9933  3 Mg 3.16-3.28, 2 In 3.29, 4 Tl 3.31-3.53, 1 Pb 3.49
7 In 0.5000 0.5000 0.0000  6 Mg 3.23-3.27, 4 Tl 3.29, 2 In 3.53
8 Pb 0.3635 0.3635 0.3738  7 Mg 3.15-3.33, 1 Tl 3.49
9 Pb 0.6365 0.6365 0.6262  7 Mg 3.15-3.33, 1 Tl 3.49

Output
Formation energy, meV per atom: -20
Space-group type: C2/m